Compound: TbSmPu
Source: Alexandria via LeMat-Bulk
Functional: GGA-PBE
Structure: optimized geometry

## Properties
Total energy = -23.323 eV per cell
Relative energy among the computed polymorphs = 0.0 meV per atom
Symmetry = I4mm
ΔH_f (0 K) = 0.1194 eV per atom
ρ = 9.858 Mg/m³

Lattice parameters (Å, degrees): 7.8754 7.8754 7.8754 154.08 154.08 36.98
Element x y z (fractional)
Tb (0.0000, 0.0000, 0.0000)
Sm (0.3272, 0.3272, 0.0000)
Pu (0.6622, 0.6622, 0.0000)

Compound: Tb5Sm8Pu
Source: Alexandria via LeMat-Bulk
Functional: GGA-PBE
Structure: optimized geometry

## Properties
Total energy = -71.474 eV per cell
Symmetry = I-4
ΔH_f (0 K) = 0.2687 eV per atom
ρ = 7.934 Mg/m³

Lattice parameters (Å, degrees): 8.4954 8.4954 8.4954 106.98 106.98 114.58
Element x y z (fractional)
Tb (0.0000, 0.0000, 0.0000)
Tb (0.2975, 0.2153, 0.7696)
Tb (0.4457, 0.5280, 0.2304)
Tb (0.4720, 0.7025, 0.9178)
Tb (0.7847, 0.5543, 0.0822)
Sm (0.0262, 0.7203, 0.6275)
Sm (0.0429, 0.4451, 0.9070)
Sm (0.0927, 0.3987, 0.3725)
Sm (0.2797, 0.9073, 0.3060)
Sm (0.5381, 0.1359, 0.0930)
Sm (0.5549, 0.4619, 0.5978)
Sm (0.6013, 0.9738, 0.6940)
Sm (0.8641, 0.9571, 0.4022)
Pu (0.7500, 0.2500, 0.5000)

Compound: Tb7Sm12Pu
Source: Alexandria via LeMat-Bulk
Functional: GGA-PBE
Structure: optimized geometry

## Properties
Total energy = -89.391 eV per cell
Symmetry = Im-3m
ΔH_f (0 K) = 0.6991 eV per atom
ρ = 6.950 Mg/m³

Lattice parameters (Å, degrees): 9.9364 9.9364 9.9364 109.47 109.47 109.47
Element x y z (fractional)
Tb (0.0000, 0.0000, 0.5000)
Tb (0.0000, 0.5000, 0.0000)
Tb (0.0000, 0.5000, 0.5000)
Tb (0.5000, 0.0000, 0.0000)
Tb (0.5000, 0.0000, 0.5000)
Tb (0.5000, 0.5000, 0.0000)
Tb (0.5000, 0.5000, 0.5000)
Sm (0.0000, 0.2500, 0.7500)
Sm (0.0000, 0.7500, 0.2500)
Sm (0.2500, 0.0000, 0.7500)
Sm (0.2500, 0.2500, 0.4999)
Sm (0.2500, 0.4999, 0.2500)
Sm (0.2500, 0.7500, 0.0000)
Sm (0.4999, 0.2500, 0.2500)
Sm (0.5001, 0.7500, 0.7500)
Sm (0.7500, 0.0000, 0.2500)
Sm (0.7500, 0.2500, 0.0000)
Sm (0.7500, 0.5001, 0.7500)
Sm (0.7500, 0.7500, 0.5001)
Pu (0.0000, 0.0000, 0.0000)

Compound: TbSmPu4
Source: Alexandria via LeMat-Bulk
Functional: GGA-PBE
Structure: optimized geometry

## Properties
Total energy = -65.258 eV per cell
Symmetry = F-43m
ΔH_f (0 K) = 0.2365 eV per atom
ρ = 12.759 Mg/m³

Lattice parameters (Å, degrees): 6.1846 6.1846 6.1846 60.00 60.00 60.00
Element x y z (fractional)
Tb (0.0000, 0.0000, 0.0000)
Sm (0.2500, 0.2500, 0.2500)
Pu (0.1248, 0.6251, 0.6251)
Pu (0.6251, 0.1248, 0.6251)
Pu (0.6251, 0.6251, 0.1248)
Pu (0.6251, 0.6251, 0.6251)

Compound: TbSm2Pu
Source: Alexandria via LeMat-Bulk
Functional: GGA-PBE
Structure: optimized geometry

## Properties
Total energy = -27.945 eV per cell
Relative energy among the computed polymorphs = 5.2 meV per atom
Symmetry = R3m
ΔH_f (0 K) = 0.1139 eV per atom
ρ = 9.127 Mg/m³

Lattice parameters (Å, degrees): 11.6926 11.6926 11.6926 17.63 17.63 17.63
Element x y z (fractional)
Tb (0.0000, 0.0000, 0.0000)
Sm (0.2491, 0.2491, 0.2491)
Sm (0.4180, 0.4180, 0.4180)
Pu (0.8337, 0.8337, 0.8337)

Compound: Tb4Sm9Pu
Source: Alexandria via LeMat-Bulk
Functional: GGA-PBE
Structure: optimized geometry

## Properties
Total energy = -145.873 eV per cell
Symmetry = P6_3/mmc
ΔH_f (0 K) = 0.1706 eV per atom
ρ = 7.912 Mg/m³

Lattice parameters (Å, degrees): 9.8363 9.8363 11.1868 90.00 90.00 120.00
Element x y z (fractional)
Tb (0.0000, 0.0000, 0.0000)
Tb (0.0000, 0.0000, 0.5000)
Tb (0.1123, 0.2245, 0.2500)
Tb (0.1123, 0.8877, 0.2500)
Tb (0.2245, 0.1123, 0.7500)
Tb (0.7755, 0.8877, 0.2500)
Tb (0.8877, 0.1123, 0.7500)
Tb (0.8877, 0.7755, 0.7500)
Sm (0.0731, 0.5365, 0.2500)
Sm (0.2092, 0.4183, 0.5349)
Sm (0.2092, 0.4183, 0.9651)
Sm (0.2092, 0.7908, 0.5349)
Sm (0.2092, 0.7908, 0.9651)
Sm (0.4183, 0.2092, 0.0349)
Sm (0.4183, 0.2092, 0.4651)
Sm (0.4635, 0.5365, 0.2500)
Sm (0.4635, 0.9269, 0.2500)
Sm (0.5365, 0.0731, 0.7500)
Sm (0.5365, 0.4635, 0.7500)
Sm (0.5817, 0.7908, 0.5349)
Sm (0.5817, 0.7908, 0.9651)
Sm (0.7908, 0.2092, 0.0349)
Sm (0.7908, 0.2092, 0.4651)
Sm (0.7908, 0.5817, 0.0349)
Sm (0.7908, 0.5817, 0.4651)
Sm (0.9269, 0.4635, 0.7500)
Pu (0.3333, 0.6667, 0.7500)
Pu (0.6667, 0.3333, 0.2500)

Copy entry 4 word for word.
Compound: TbSmPu4
Source: Alexandria via LeMat-Bulk
Functional: GGA-PBE
Structure: optimized geometry

## Properties
Total energy = -65.258 eV per cell
Symmetry = F-43m
ΔH_f (0 K) = 0.2365 eV per atom
ρ = 12.759 Mg/m³

Lattice parameters (Å, degrees): 6.1846 6.1846 6.1846 60.00 60.00 60.00
Element x y z (fractional)
Tb (0.0000, 0.0000, 0.0000)
Sm (0.2500, 0.2500, 0.2500)
Pu (0.1248, 0.6251, 0.6251)
Pu (0.6251, 0.1248, 0.6251)
Pu (0.6251, 0.6251, 0.1248)
Pu (0.6251, 0.6251, 0.6251)

Which of these has the lowest total energy?
Tb4Sm9Pu